# 1
Sr2YBe PBE-GGA optimized geometry; SG = R-3m (166)
1.0
1.957 1.130 10.940
-1.957 1.130 10.940
0.000 -2.260 10.940
Sr Y Be
2 1 1
direct
0.233 0.233 0.233
0.767 0.767 0.767
0.000 0.000 0.000
0.500 0.500 0.500


# 2
SrYBe2 PBE-GGA optimized geometry; E above lowest polymorph = 79 kJ/mol of formula units; SG = P4mm (99)
1.0
3.251 0.000 0.000
0.000 3.251 0.000
0.000 0.000 8.526
Sr Y Be
1 1 2
direct
0.000 0.000 0.000
0.500 0.500 0.397
0.000 0.000 0.625
0.500 0.500 0.727


# 3
Sr4YBe PBE-GGA optimized geometry; SG = F-43m (216)
1.0
0.000 5.084 5.084
5.084 0.000 5.084
5.084 5.084 0.000
Sr Y Be
4 1 1
direct
0.125 0.125 0.125
0.125 0.125 0.626
0.125 0.626 0.125
0.626 0.125 0.125
0.750 0.750 0.750
0.500 0.500 0.500


# 4
SrYBe PBE-GGA optimized geometry; E above lowest polymorph = 68 kJ/mol of formula units; SG = P3m1 (156)
1.0
4.639 0.000 0.000
-2.319 4.017 0.000
0.000 0.000 4.987
Sr Y Be
1 1 1
direct
0.000 0.000 0.000
0.333 0.667 0.500
0.667 0.333 0.499


# 5
SrY3Be PBE-GGA optimized geometry; E above lowest polymorph = 0 kJ/mol of formula units; SG = Pm-3m (221)
1.0
5.459 0.000 0.000
0.000 5.459 0.000
0.000 0.000 5.459
Sr Y Be
1 3 1
direct
0.000 0.000 0.000
0.000 0.500 0.500
0.500 0.000 0.500
0.500 0.500 0.000
0.500 0.500 0.500


# 6
Sr2YBe PBE-GGA optimized geometry; SG = I-42d (122)
1.0
-5.005 5.005 2.966
5.005 -5.005 2.966
5.005 5.005 -2.966
Sr Y Be
4 2 2
direct
0.018 0.625 0.893
0.375 0.268 0.393
0.732 0.125 0.107
0.875 0.982 0.607
0.250 0.750 0.500
0.500 0.500 0.000
0.000 0.000 0.000
0.750 0.250 0.500


# 7
Sr2YBe PBE-GGA optimized geometry; SG = Pmmm (47)
1.0
4.492 0.000 0.000
0.000 5.322 0.000
0.000 0.000 5.479
Sr Y Be
2 1 1
direct
0.000 0.000 0.000
0.500 0.500 0.000
0.000 0.500 0.500
0.500 0.000 0.500


# 8
Sr2YBe PBE-GGA optimized geometry; SG = P2/m (10)
1.0
3.723 0.000 0.000
0.000 3.722 0.000
-0.010 0.000 9.783
Sr Y Be
2 1 1
direct
0.000 0.000 0.190
0.000 0.000 0.810
0.500 0.500 0.500
0.500 0.500 0.000


# 9
Sr2YBe PBE-GGA optimized geometry; SG = Immm (71)
1.0
-1.814 2.262 8.872
1.814 -2.262 8.872
1.814 2.262 -8.872
Sr Y Be
2 1 1
direct
0.158 0.158 0.000
0.842 0.842 0.000
0.500 0.000 0.500
0.000 0.500 0.500


# 10
SrYBe PBE-GGA optimized geometry; E above lowest polymorph = 0 kJ/mol of formula units; SG = I4mm (107)
1.0
-1.804 1.804 6.653
1.804 -1.804 6.653
1.804 1.804 -6.653
Sr Y Be
1 1 1
direct
0.000 0.000 0.000
0.260 0.260 0.000
0.657 0.657 0.000


# 11
Sr2BeZn PBE-GGA optimized geometry; E above lowest polymorph = 112 kJ/mol of formula units; SG = F-43m (216)
1.0
0.000 3.662 3.662
3.662 0.000 3.662
3.662 3.662 0.000
Sr Be Zn
2 1 1
direct
0.000 0.000 0.000
0.250 0.250 0.250
0.750 0.750 0.750
0.500 0.500 0.500


# 12
SrBeZn PBE-GGA optimized geometry; E above lowest polymorph = 48 kJ/mol of formula units; SG = I4mm (107)
1.0
-1.692 1.692 5.552
1.692 -1.692 5.552
1.692 1.692 -5.552
Sr Be Zn
1 1 1
direct
0.000 0.000 0.000
0.290 0.290 0.000
0.718 0.718 0.000


# 13
SrBeZn PBE-GGA optimized geometry; E above lowest polymorph = 90 kJ/mol of formula units; SG = F-43m (216)
1.0
0.000 3.346 3.346
3.346 0.000 3.346
3.346 3.346 0.000
Sr Be Zn
1 1 1
direct
0.000 0.000 0.000
0.750 0.750 0.750
0.500 0.500 0.500


# 14
SrBe3Zn PBE-GGA optimized geometry; E above lowest polymorph = 779 kJ/mol of formula units; SG = Pm-3m (221)
1.0
5.890 0.000 0.000
0.000 5.890 0.000
0.000 0.000 5.890
Sr Be Zn
1 3 1
direct
0.000 0.000 0.000
0.000 0.000 0.500
0.000 0.500 0.000
0.500 0.000 0.000
0.500 0.500 0.500


# 15
SrBe4Zn PBE-GGA optimized geometry; SG = F-43m (216)
1.0
0.000 3.488 3.488
3.488 0.000 3.488
3.488 3.488 0.000
Sr Be Zn
1 4 1
direct
0.000 0.000 0.000
0.378 0.378 0.378
0.378 0.378 0.866
0.378 0.866 0.378
0.866 0.378 0.378
0.750 0.750 0.750


| no. | formation energy from the elements (meV per atom) | size of the total moment (Bohr magnetons per cell) | E_tot (eV/atom) |
| --- | --- | --- | --- |
| 1 | 534 | 0.1 | -2.8547 |
| 2 | 479 | 0.6 | -3.4205 |
| 3 | 869 | 1.5 | -1.9511 |
| 4 | 486 | 0.0 | -3.4715 |
| 5 | 233 | 0.0 | -4.7266 |
| 6 | 572 | 0.0 | -2.8167 |
| 7 | 557 | 0.0 | -2.8316 |
| 8 | 405 | 0.5 | -2.9839 |
| 9 | 330 | 0.0 | -3.0581 |
| 10 | 250 | 0.3 | -3.7069 |
| 11 | 373 | 0.0 | -1.7177 |
| 12 | 278 | 0.0 | -1.9496 |
| 13 | 426 | 0.0 | -1.8018 |
| 14 | 2097 | 0.0 | -0.7298 |
| 15 | 467 | 0.0 | -2.5093 |